3
Lattice="1.859 -3.927 0.076 -1.929 -3.356 -1.975 1.715 -1.663 -3.630" Properties=species:S:1:pos:R:3 comment="TmReSi GGA-PBE relaxed" magmom_total_mub_per_fu=0.00 sg="F-43m, No. 216" pbc="T T T"
Re 0.411 -2.237 -1.382
Si 0.000 0.000 0.000
Tm 1.234 -6.710 -4.146

4
Lattice="0.000 3.514 3.514 3.514 0.000 3.514 3.514 3.514 0.000" Properties=species:S:1:pos:R:3 comment="YCd2Si GGA-PBE relaxed" magmom_total_mub_per_fu=0.00 sg="F-43m, No. 216" pbc="T T T"
Cd 0.000 0.000 0.000
Cd 5.271 5.271 5.271
Si 3.514 3.514 3.514
Y 1.757 1.757 1.757

2
Lattice="-1.096 -3.874 1.604 -4.121 -1.330 -0.173 -1.129 -3.214 -2.679" Properties=species:S:1:pos:R:3 comment="TbU GGA-PBE relaxed" magmom_total_mub_per_fu=1.36 sg="F-43m, No. 216" ef_ev_per_atom=2.40 pbc="T T T"
Tb 0.000 0.000 0.000
U -1.586 -2.105 -0.312

9
Lattice="-4.560 6.153 -4.591 -2.724 -2.638 -0.829 -1.928 0.977 3.224" Properties=species:S:1:pos:R:3 comment="Ag2Hg2O5 GGA-PBE relaxed" sg="P4/mmm, No. 123" pbc="T T T"
Ag 0.000 0.000 0.000
Ag -2.280 3.076 -2.295
Hg -3.480 0.727 0.035
Hg -5.731 3.764 -2.231
O -1.990 -0.471 -1.047
O -5.294 3.986 -4.373
O -1.592 1.336 0.979
O -4.896 5.793 -2.346
O -4.606 2.246 -1.098

3
Lattice="0.000 3.342 3.342 3.342 0.000 3.342 3.342 3.342 0.000" Properties=species:S:1:pos:R:3 comment="DyThFe GGA-PBE relaxed" magmom_total_mub_per_fu=0.03 sg="F-43m, No. 216" ef_ev_per_atom=0.13 pbc="T T T"
Dy 1.671 1.671 1.671
Fe 0.000 0.000 0.000
Th 5.013 5.013 5.013

4
Lattice="0.000 3.105 3.105 3.105 0.000 3.105 3.105 3.105 0.000" Properties=species:S:1:pos:R:3 comment="BeCuTeIr GGA-PBE relaxed" magmom_total_mub_per_fu=0.00 sg="F-43m, No. 216" pbc="T T T"
Be 4.657 4.657 4.657
Cu 3.105 3.105 3.105
Ir 0.000 0.000 0.000
Te 1.552 1.552 1.552

28
Lattice="-3.235 -1.630 7.889 1.382 8.263 2.274 -4.777 -1.805 -7.107" Properties=species:S:1:pos:R:3 comment="SrCu9Sn4 GGA-PBE relaxed" sg="I4/mcm, No. 140" pbc="T T T"
Cu -1.617 -0.815 3.944
Cu -0.576 0.129 1.717
Cu -2.777 0.127 7.910
Cu -1.026 1.740 4.186
Cu -1.655 2.530 6.547
Cu 0.691 4.131 1.137
Cu -0.197 4.103 3.616
Cu -0.827 4.893 5.977
Cu 0.924 6.506 2.252
Cu -1.277 6.504 8.445
Cu -4.103 -1.362 3.849
Cu -3.101 0.785 2.630
Cu -1.092 3.938 -0.671
Cu -1.495 5.377 1.534
Cu -5.135 -0.549 1.520
Cu -5.537 0.890 3.726
Cu -3.528 4.043 0.425
Cu -2.526 6.190 -0.794
Sn -3.396 0.793 5.314
Sn -1.599 2.682 1.665
Sn -3.126 4.712 7.476
Sn -1.329 6.601 3.828
Sn -5.301 -1.773 -0.773
Sn -3.504 0.116 -4.422
Sn -5.030 2.146 1.389
Sn -3.233 4.035 -2.259
Sr -2.851 0.756 -1.013
Sr -3.778 4.072 4.068

3
Lattice="2.308 -4.162 1.849 2.671 0.278 4.343 -1.773 -2.234 4.235" Properties=species:S:1:pos:R:3 comment="TbScPa GGA-PBE relaxed" magmom_total_mub_per_fu=2.72 sg="F-43m, No. 216" ef_ev_per_atom=0.98 pbc="T T T"
Pa 0.802 -1.530 2.607
Sc 0.000 0.000 0.000
Tb 2.405 -4.589 7.820

Energy? In order: -7.4001; -3.5116; -5.5621; -3.1172; -6.6452; -4.5435; -3.8012; -5.8357 eV per atom.